# 1
TiV3Ga2: relaxed, PBE-GGA.

Cell: 4.5167 4.5173 9.6440 Å, 117.93 90.15 89.68°
Last column: magnetic moment on the atom in μB.
Fractional positions:
Ti  0.7500  0.5772  0.3273  0.14
Ti  0.2500  0.4228  0.6727  0.14
V  0.2500  0.4168  0.1669  0.31
V  0.2499  0.0833  0.8334  0.34
V  0.7500  0.5832  0.8331  0.31
V  0.7501  0.9167  0.1666  0.34
V  0.2500  0.0683  0.3183  0.04
V  0.7500  0.9317  0.6817  0.04
Ga  0.7499  0.2499  0.5000  0.00
Ga  0.2501  0.7505  0.0006  -0.01
Ga  0.2501  0.7501  0.5000  0.00
Ga  0.7499  0.2495  0.9994  -0.01

Values from the calculation:
Crystal system: orthorhombic
Total energy: -7.09 eV per atom
Calculated formation energy: -1.2 eV/f.u.

=====

# 2
TiGa2W2: relaxed, PBE-GGA.

Cell: 3.7608 3.7608 6.5608 Å, 73.34 73.34 90.00°
Fractional positions:
Ga  0.4042  0.4042  0.1915
Ga  0.5958  0.5958  0.8085
W  0.7500  0.2500  0.5000
W  0.2500  0.7500  0.5000
Ti  0.0000  0.0000  0.0000

Values from the calculation:
Crystal system: tetragonal
Total energy: -7.83 eV per atom
Calculated formation energy: 0.7 eV/f.u.

=====

# 3
Ti6Ga10W: relaxed, PBE-GGA.

Cell: 5.3893 7.7175 7.7175 Å, 120.00 90.00 90.00°
Fractional positions:
Ti  0.7024  0.3779  0.3779
Ti  0.7024  0.0000  0.6221
Ti  0.7024  0.6221  0.0000
Ti  0.2976  0.6221  0.6221
Ti  0.2976  0.0000  0.3779
Ti  0.2976  0.3779  0.0000
Ga  0.8128  0.7376  0.7376
Ga  0.8128  0.0000  0.2624
Ga  0.8128  0.2624  0.0000
Ga  0.1872  0.2624  0.2624
Ga  0.1872  0.0000  0.7376
Ga  0.1872  0.7376  0.0000
Ga  0.5000  0.3333  0.6667
Ga  0.5000  0.6667  0.3333
Ga  0.0000  0.6667  0.3333
Ga  0.0000  0.3333  0.6667
W  0.5000  0.0000  0.0000

Values from the calculation:
Crystal system: trigonal
Total energy: -5.56 eV per atom
Calculated formation energy: -3.9 eV/f.u.

=====

# 4
TiGa2W2: relaxed, PBE-GGA.

Cell: 6.7151 6.7151 3.4555 Å, 90.00 90.00 90.00°
Fractional positions:
Ga  0.3705  0.8705  0.0000
Ga  0.8705  0.6295  0.0000
Ga  0.6295  0.1295  0.0000
Ga  0.1295  0.3705  0.0000
W  0.1723  0.6723  0.5000
W  0.6723  0.8277  0.5000
W  0.8277  0.3277  0.5000
W  0.3277  0.1723  0.5000
Ti  0.0000  0.0000  0.0000
Ti  0.5000  0.5000  0.0000

Values from the calculation:
Crystal system: tetragonal
Total energy: -7.98 eV per atom
Calculated formation energy: -0.1 eV/f.u.